Compound: NaCoPO4
Source: OQMD via LeMat-Bulk
Functional: PBE+U
Structure: relaxed

Cell lengths 6.693, 6.693, 6.693 Å; angles 126.33, 126.33, 79.35 degrees
Last column: magnetic moment on the atom in μB.
Fractional coordinates of all 14 atoms:
O: 0.704 0.204 0.216  0.06
O: 0.988 0.488 0.784  0.06
O: 0.488 0.704 0.500  0.06
O: 0.512 0.296 0.500  0.06
O: 0.204 0.988 0.500  0.06
O: 0.796 0.012 0.500  0.06
O: 0.296 0.796 0.784  0.06
O: 0.012 0.512 0.216  0.06
Na: 0.250 0.250 0.000  0.00
Na: 0.750 0.750 0.000  0.00
P: 0.750 0.250 0.500  0.00
P: 0.250 0.750 0.500  0.00
Co: 0.000 0.500 0.500  2.69
Co: 0.500 0.000 0.500  2.69

Computed properties:
magnetic moment: 3.00 μB/f.u.
DFT total energy: -88.73 eV per cell
relative energy among the computed polymorphs: 156 meV/atom
space-group type: No. 140